Record 1
DFT (PBE) results for MgTa3Br after structural relaxation.

Structure (POSCAR):
```
MgTa3Br
1.0
4.758 0.000 0.000
0.000 4.758 0.000
0.000 0.000 4.758
Mg Ta Br
1 3 1
direct
0.000 0.000 0.000
0.000 0.500 0.500
0.500 0.000 0.500
0.500 0.500 0.000
0.500 0.500 0.500
```

## Properties
The calculation puts the volume at 107.7 Å³/cell. Its space-group type is Pm-3m. As for the magnetization: 0.0 μB/f.u. The value obtained for the energy relative to the elements, uncorrected is 1.37 eV per atom. The energy relative to the lowest polymorph listed for this composition comes out at 0 meV/atom.

=====

Record 2
DFT (PBE) results for MgTa2Br after structural relaxation.

Structure (POSCAR):
```
MgTa2Br
1.0
5.239 -1.567 0.000
5.239 1.567 0.000
-0.835 0.000 4.749
Mg Ta Br
1 2 1
direct
0.000 0.000 0.000
0.245 0.245 0.758
0.755 0.755 0.242
0.500 0.500 0.500
```

## Properties
The calculation puts the volume at 78.0 Å³/cell. Its space-group type is C2/m. As for the magnetization: 0.0 μB/f.u. The value obtained for the energy relative to the elements, uncorrected is 0.45 eV per atom. The energy relative to the lowest polymorph listed for this composition comes out at 316 meV/atom.

=====

Record 3
DFT (PBE) results for MgTa2Br after structural relaxation.

Structure (POSCAR):
```
MgTa2Br
1.0
1.523 0.879 9.535
-1.523 0.879 9.535
0.000 -1.759 9.535
Mg Ta Br
1 2 1
direct
0.000 0.000 0.000
0.244 0.244 0.244
0.756 0.756 0.756
0.500 0.500 0.500
```

## Properties
The calculation puts the volume at 76.6 Å³/cell. Its space-group type is R-3m. As for the magnetization: 0.0 μB/f.u. The value obtained for the energy relative to the elements, uncorrected is 0.44 eV per atom. The energy relative to the lowest polymorph listed for this composition comes out at 304 meV/atom.

=====

Record 4
DFT (PBE) results for MgTa2Br after structural relaxation.

Structure (POSCAR):
```
MgTa2Br
1.0
0.000 3.348 3.348
3.348 0.000 3.348
3.348 3.348 0.000
Mg Ta Br
1 2 1
direct
0.000 0.000 0.000
0.250 0.250 0.250
0.750 0.750 0.750
0.500 0.500 0.500
```

## Properties
The calculation puts the volume at 75.1 Å³/cell. Its space-group type is Fm-3m. As for the magnetization: 0.0 μB/f.u. The value obtained for the energy relative to the elements, uncorrected is 1.04 eV per atom. The energy relative to the lowest polymorph listed for this composition comes out at 901 meV/atom.